Computed, not measured: VIr2O after structural relaxation at the GGA+U level of DFT.

Calculated values
Its calculated volume is 132.4 Å³/cell. For the total energy, the calculation gives -27.19 eV per formula unit. Its theoretical density is 11.33 Mg/m³.

```
VIr2O
1.0
-2.592 2.592 4.923
2.592 -2.592 4.923
2.592 2.592 -4.923
V Ir O
2 4 2
Cartesian
0.000 0.000 0.000 V
0.000 2.592 2.462 V
1.296 -1.033 3.693 Ir
1.559 1.296 1.231 Ir
1.296 3.626 -1.231 Ir
1.033 1.296 6.154 Ir
2.592 0.000 2.462 O
0.000 0.000 4.923 O
```